Run 1
BePN2F: relaxed, PBE-GGA.

Cell and atoms, written as POSCAR:
```
BePN2F
1.0
-0.0274 3.2175 -1.7780
0.0678 -1.7773 -3.2173
-3.2070 -0.0495 -0.0402
Be P N F
1 1 2 1
direct
0.0000 0.0000 0.0000
0.5000 0.5000 0.5000
0.5000 0.0000 0.0000
0.0000 0.5000 0.0000
0.0000 0.0000 0.5000
```

Magnetic moment in μB per atom: 0.00

Run 2
BePN2F: relaxed, PBE-GGA.

Cell and atoms, written as POSCAR:
```
BePN2F
1.0
3.4695 0.0000 0.0000
0.0000 3.4695 0.0000
0.0000 0.0000 3.6145
N F Be P
2 1 1 1
direct
0.5000 0.0000 0.0000
0.0000 0.5000 0.0000
0.0000 0.0000 0.5000
0.5000 0.5000 0.5000
0.0000 0.0000 0.0000
```

Magnetic moment in μB per atom: 0.00

The winner here is run 2, beating the second structure by 14.7 kJ/mol of atoms.

Run 1
BePbNF2: relaxed, PBE-GGA.

Cell and atoms, written as POSCAR:
```
BePbNF2
1.0
-1.0031 3.2633 -0.8978
-2.0952 0.1367 2.8377
3.3723 1.6992 2.4082
Pb N Be F
1 1 1 2
direct
0.5000 0.5000 0.5000
0.0000 0.0000 0.5000
0.0000 0.0000 0.0000
0.5000 0.0000 0.0000
0.0000 0.5000 0.0000
```

Magnetic moment in μB per atom: 0.00

Run 2
BePbNF2: relaxed, PBE-GGA.

Cell and atoms, written as POSCAR:
```
BePbNF2
1.0
-3.5395 1.5262 -2.0446
-2.2570 -0.2424 3.7263
1.2003 4.1165 0.9948
N Pb F Be
1 1 2 1
direct
0.0000 0.0000 0.5000
0.0000 0.0000 0.0000
0.0000 0.5000 0.0000
0.5000 0.0000 0.0000
0.5000 0.5000 0.5000
```

Magnetic moment in μB per atom: 0.00

The winner here is run 1, beating the second structure by 133.9 kJ/mol of atoms.

Run 1
RbBeNF2: relaxed, PBE-GGA.

Cell and atoms, written as POSCAR:
```
RbBeNF2
1.0
5.1523 0.0000 0.0000
0.0000 5.1523 0.0000
0.0000 0.0000 5.3092
Rb Be N F
1 1 1 2
direct
0.0000 0.0000 0.0000
0.5000 0.5000 0.5000
0.0000 0.0000 0.5000
0.5000 0.0000 0.0000
0.0000 0.5000 0.0000
```

Magnetic moment in μB per atom: 0.40

Run 2
RbBeNF2: relaxed, PBE-GGA.

Cell and atoms, written as POSCAR:
```
RbBeNF2
1.0
4.2515 0.0000 0.0000
0.0000 3.5182 0.0000
0.0000 0.0000 4.2515
Rb F N Be
1 2 1 1
direct
0.5000 0.5000 0.5000
0.5000 0.0000 0.0000
0.0000 0.0000 0.5000
0.0000 0.5000 0.0000
0.0000 0.0000 0.0000
```

Magnetic moment in μB per atom: 0.40

The winner here is run 2, beating the second structure by 186.2 kJ/mol of atoms.

Run 1
BeRhNF2: relaxed, PBE-GGA.

Cell and atoms, written as POSCAR:
```
BeRhNF2
1.0
-1.5332 2.9709 -2.6209
-1.3902 -3.0351 -2.6272
-3.2448 -0.0792 1.8085
F Be N Rh
2 1 1 1
direct
0.0000 0.5000 0.0000
0.5000 0.0000 0.0000
0.5000 0.5000 0.5000
0.0000 0.0000 0.5000
0.0000 0.0000 0.0000
```

Magnetic moment in μB per atom: 0.00

Run 2
BeRhNF2: relaxed, PBE-GGA.

Cell and atoms, written as POSCAR:
```
BeRhNF2
1.0
3.0531 0.0000 0.0000
0.0000 3.0531 0.0000
0.0000 0.0000 6.7216
F N Rh Be
2 1 1 1
direct
0.5000 0.0000 0.0000
0.0000 0.5000 0.0000
0.0000 0.0000 0.5000
0.5000 0.5000 0.5000
0.0000 0.0000 0.0000
```

Magnetic moment in μB per atom: 0.16

The winner here is run 2, beating the second structure by 109.4 kJ/mol of atoms.

Run 1
BeRuNF2: relaxed, PBE-GGA.

Cell and atoms, written as POSCAR:
```
BeRuNF2
1.0
-3.1090 -1.9992 -1.9875
2.6663 -1.1246 -3.0395
0.8143 -3.1265 1.8710
F N Be Ru
2 1 1 1
direct
0.0000 0.5000 0.0000
0.5000 0.0000 0.0000
0.0000 0.0000 0.5000
0.5000 0.5000 0.5000
0.0000 0.0000 0.0000
```

Magnetic moment in μB per atom: 0.10

Run 2
BeRuNF2: relaxed, PBE-GGA.

Cell and atoms, written as POSCAR:
```
BeRuNF2
1.0
3.0266 0.0000 0.0000
0.0000 3.0266 0.0000
0.0000 0.0000 6.8658
Ru F N Be
1 2 1 1
direct
0.5000 0.5000 0.5000
0.0000 0.5000 0.0000
0.5000 0.0000 0.0000
0.0000 0.0000 0.5000
0.0000 0.0000 0.0000
```

Magnetic moment in μB per atom: 0.00

The winner here is run 2, beating the second structure by 99.5 kJ/mol of atoms.

Run 1
BeRuN2F: relaxed, PBE-GGA.

Cell and atoms, written as POSCAR:
```
BeRuN2F
1.0
3.7185 0.0000 0.0000
0.0000 3.7185 0.0000
0.0000 0.0000 3.1051
Ru N F Be
1 2 1 1
direct
0.5000 0.5000 0.5000
0.0000 0.5000 0.0000
0.5000 0.0000 0.0000
0.0000 0.0000 0.5000
0.0000 0.0000 0.0000
```

Magnetic moment in μB per atom: 0.38

Run 2
BeRuN2F: relaxed, PBE-GGA.

Cell and atoms, written as POSCAR:
```
BeRuN2F
1.0
-2.6128 -1.0273 2.5803
0.5010 -3.6589 -0.9493
2.9730 -0.3390 2.8756
Ru Be N F
1 1 2 1
direct
0.0000 0.0000 0.0000
0.5000 0.5000 0.5000
0.0000 0.5000 0.0000
0.5000 0.0000 0.0000
0.0000 0.0000 0.5000
```

Magnetic moment in μB per atom: 0.04

The winner here is run 1, beating the second structure by 25.2 kJ/mol of atoms.

Run 1
BeS2NF: relaxed, PBE-GGA.

Cell and atoms, written as POSCAR:
```
BeS2NF
1.0
4.4453 0.0000 0.0000
0.0000 4.4453 0.0000
0.0000 0.0000 3.1633
S N F Be
2 1 1 1
direct
0.5000 0.0000 0.0000
0.0000 0.5000 0.0000
0.0000 0.0000 0.5000
0.5000 0.5000 0.5000
0.0000 0.0000 0.0000
```

Magnetic moment in μB per atom: 0.00

Run 2
BeS2NF: relaxed, PBE-GGA.

Cell and atoms, written as POSCAR:
```
BeS2NF
1.0
-0.4761 0.9777 4.2098
-3.7023 -2.2773 0.1102
1.9080 -3.0570 0.9257
Be S N F
1 2 1 1
direct
0.5000 0.5000 0.5000
0.5000 0.0000 0.0000
0.0000 0.5000 0.0000
0.0000 0.0000 0.5000
0.0000 0.0000 0.0000
```

Magnetic moment in μB per atom: 0.16

The winner here is run 1, beating the second structure by 99.1 kJ/mol of atoms.

Run 1
ScBeN2F: relaxed, PBE-GGA.

Cell and atoms, written as POSCAR:
```
ScBeN2F
1.0
4.1462 0.0000 0.0000
0.0000 4.1462 0.0000
0.0000 0.0000 3.9293
N Sc F Be
2 1 1 1
direct
0.0000 0.5000 0.0000
0.5000 0.0000 0.0000
0.0000 0.0000 0.0000
0.0000 0.0000 0.5000
0.5000 0.5000 0.5000
```

Magnetic moment in μB per atom: 0.14

Run 2
ScBeN2F: relaxed, PBE-GGA.

Cell and atoms, written as POSCAR:
```
ScBeN2F
1.0
3.4457 0.0000 0.0000
0.0000 3.4457 0.0000
0.0000 0.0000 3.7116
Sc F N Be
1 1 2 1
direct
0.5000 0.5000 0.5000
0.0000 0.0000 0.5000
0.0000 0.5000 0.0000
0.5000 0.0000 0.0000
0.0000 0.0000 0.0000
```

Magnetic moment in μB per atom: 0.00

The winner here is run 2, beating the second structure by 101.2 kJ/mol of atoms.

Run 1
BeSeNF2: relaxed, PBE-GGA.

Cell and atoms, written as POSCAR:
```
BeSeNF2
1.0
-0.6013 3.0764 -0.2393
-2.7435 -0.4214 1.4759
3.0199 1.0503 5.9133
F Be Se N
2 1 1 1
direct
0.5000 0.0000 0.0000
0.0000 0.5000 0.0000
0.0000 0.0000 0.0000
0.5000 0.5000 0.5000
0.0000 0.0000 0.5000
```

Magnetic moment in μB per atom: 0.00

Run 2
BeSeNF2: relaxed, PBE-GGA.

Cell and atoms, written as POSCAR:
```
BeSeNF2
1.0
4.4774 0.0000 0.0000
0.0000 4.4774 0.0000
0.0000 0.0000 3.6666
F Be Se N
2 1 1 1
direct
0.0000 0.5000 0.0000
0.5000 0.0000 0.0000
0.5000 0.5000 0.5000
0.0000 0.0000 0.0000
0.0000 0.0000 0.5000
```

Magnetic moment in μB per atom: 0.18

The winner here is run 1, beating the second structure by 136.2 kJ/mol of atoms.

Run 1
BeSiN2F: relaxed, PBE-GGA.

Cell and atoms, written as POSCAR:
```
BeSiN2F
1.0
-2.7806 2.3391 -0.2287
-1.2079 -1.1184 3.2474
1.7745 2.2497 1.4348
Si Be F N
1 1 1 2
direct
0.5000 0.5000 0.5000
0.0000 0.0000 0.0000
0.0000 0.0000 0.5000
0.0000 0.5000 0.0000
0.5000 0.0000 0.0000
```

Magnetic moment in μB per atom: 0.00

Run 2
BeSiN2F: relaxed, PBE-GGA.

Cell and atoms, written as POSCAR:
```
BeSiN2F
1.0
3.5717 0.0000 0.0000
0.0000 3.5717 0.0000
0.0000 0.0000 3.5213
N Be F Si
2 1 1 1
direct
0.5000 0.0000 0.0000
0.0000 0.5000 0.0000
0.5000 0.5000 0.5000
0.0000 0.0000 0.5000
0.0000 0.0000 0.0000
```

Magnetic moment in μB per atom: 0.05

The winner here is run 2, beating the second structure by 41.8 kJ/mol of atoms.

Run 1
BeSiNF2: relaxed, PBE-GGA.

Cell and atoms, written as POSCAR:
```
BeSiNF2
1.0
3.0749 0.0000 0.0000
0.0000 3.0749 0.0000
0.0000 0.0000 5.8807
Si N Be F
1 1 1 2
direct
0.5000 0.5000 0.5000
0.0000 0.0000 0.5000
0.0000 0.0000 0.0000
0.5000 0.0000 0.0000
0.0000 0.5000 0.0000
```

Magnetic moment in μB per atom: 0.00

Run 2
BeSiNF2: relaxed, PBE-GGA.

Cell and atoms, written as POSCAR:
```
BeSiNF2
1.0
3.9521 0.0000 0.0000
0.0000 3.9521 0.0000
0.0000 0.0000 3.3216
Si Be F N
1 1 2 1
direct
0.0000 0.0000 0.0000
0.5000 0.5000 0.5000
0.5000 0.0000 0.0000
0.0000 0.5000 0.0000
0.0000 0.0000 0.5000
```

Magnetic moment in μB per atom: 0.13

The winner here is run 1, beating the second structure by 52.2 kJ/mol of atoms.

Run 1
BeSnNF2: relaxed, PBE-GGA.

Cell and atoms, written as POSCAR:
```
BeSnNF2
1.0
4.2541 0.0000 0.0000
0.0000 4.2541 0.0000
0.0000 0.0000 3.9964
F N Sn Be
2 1 1 1
direct
0.0000 0.5000 0.0000
0.5000 0.0000 0.0000
0.0000 0.0000 0.5000
0.0000 0.0000 0.0000
0.5000 0.5000 0.5000
```

Magnetic moment in μB per atom: 0.07

Run 2
BeSnNF2: relaxed, PBE-GGA.

Cell and atoms, written as POSCAR:
```
BeSnNF2
1.0
3.3284 0.0000 0.0000
0.0000 3.3284 0.0000
0.0000 0.0000 5.0501
F N Be Sn
2 1 1 1
direct
0.5000 0.0000 0.0000
0.0000 0.5000 0.0000
0.0000 0.0000 0.5000
0.0000 0.0000 0.0000
0.5000 0.5000 0.5000
```

Magnetic moment in μB per atom: 0.00

The winner here is run 2, beating the second structure by 106.6 kJ/mol of atoms.